# 1
# Ba2CaOs | the Alexandria database | PBE | optimized geometry
# V in Å³/atom: 37.6
# Calculated density in Mg/m³: 5.6
# Total magnetization in μB/atom: 0.00
# Relative energy among the computed polymorphs in eV per atom: 0.1481
data_Ba2CaOs
_chemical_formula_sum 'Ba2 Ca1 Os1'
_space_group_name_H-M_alt 'P 4/m m m'
_space_group_IT_number 123
_space_group_name_Hall '-P 4 2'
_cell_length_a 3.7766
_cell_length_b 3.7766
_cell_length_c 10.5342
_cell_angle_alpha 90.00
_cell_angle_beta 90.00
_cell_angle_gamma 90.00
loop_
_atom_site_label
_atom_site_fract_x
_atom_site_fract_y
_atom_site_fract_z
Ba1 0.0000 0.0000 0.1748
Ca1 0.5000 0.5000 0.5000
Os1 0.5000 0.5000 0.0000


# 2
# Ba2CaOs | the Alexandria database | PBE | optimized geometry
# V in Å³/atom: 32.2
# Calculated density in Mg/m³: 6.5
# Total magnetization in μB/atom: 0.00
# Relative energy among the computed polymorphs in eV per atom: 0.3345
data_Ba2CaOs
_chemical_formula_sum 'Ba2 Ca1 Os1'
_space_group_name_H-M_alt 'P 4/m m m'
_space_group_IT_number 123
_space_group_name_Hall '-P 4 2'
_cell_length_a 5.0882
_cell_length_b 5.0882
_cell_length_c 4.9718
_cell_angle_alpha 90.00
_cell_angle_beta 90.00
_cell_angle_gamma 90.00
loop_
_atom_site_label
_atom_site_fract_x
_atom_site_fract_y
_atom_site_fract_z
Ba1 0.0000 0.5000 0.0000
Ca1 0.0000 0.0000 0.5000
Os1 0.5000 0.5000 0.5000


# 3
# BaCaOs3 | the Alexandria database | PBE | optimized geometry
# V in Å³/atom: 26.9
# Calculated density in Mg/m³: 9.2
# Total magnetization in μB/atom: 0.76
# Calculated total energy in eV per formula unit: -22.9
data_BaCaOs3
_chemical_formula_sum 'Ba1 Ca1 Os3'
_space_group_name_H-M_alt 'P m -3 m'
_space_group_IT_number 221
_space_group_name_Hall '-P 4 2 3'
_cell_length_a 5.1264
_cell_length_b 5.1264
_cell_length_c 5.1264
_cell_angle_alpha 90.00
_cell_angle_beta 90.00
_cell_angle_gamma 90.00
loop_
_atom_site_label
_atom_site_fract_x
_atom_site_fract_y
_atom_site_fract_z
Ba1 0.0000 0.0000 0.0000
Ca1 0.5000 0.5000 0.5000
Os1 0.0000 0.0000 0.5000